# Ga2IrPtPb, optimized geometry, DFT PBE
# Energy of formation (eV per atom): 1.592
# Electronic total energy (eV for the cell shown): -16.71
# Crystal system: tetragonal
data_Ga2IrPtPb
_chemical_formula_sum 'Ga2 Ir1 Pt1 Pb1'
_cell_length_a 5.258
_cell_length_b 5.258
_cell_length_c 5.051
_cell_angle_alpha 90.00
_cell_angle_beta 90.00
_cell_angle_gamma 90.00
_space_group_name_H-M_alt 'P 1'
_space_group_IT_number 1
loop_
_space_group_symop_operation_xyz
'x,y,z'
loop_
_atom_site_label
_atom_site_type_symbol
_atom_site_fract_x
_atom_site_fract_y
_atom_site_fract_z
Ga1 Ga 0.000 0.500 0.000
Ga2 Ga 0.500 0.000 0.000
Ir1 Ir 0.000 0.000 0.500
Pt1 Pt 0.500 0.500 0.500
Pb1 Pb 0.500 0.500 0.000

=====

# GaTe2IrPb, optimized geometry, DFT PBE
# Electronic total energy (eV for the cell shown): -19.08
# Crystal system: tetragonal
# Formation energy from raw total energies (kJ/mol of formula units): 270
data_GaTe2IrPb
_chemical_formula_sum 'Ga1 Te2 Ir1 Pb1'
_cell_length_a 5.462
_cell_length_b 5.462
_cell_length_c 4.673
_cell_angle_alpha 90.00
_cell_angle_beta 90.00
_cell_angle_gamma 90.00
_space_group_name_H-M_alt 'P 1'
_space_group_IT_number 1
loop_
_space_group_symop_operation_xyz
'x,y,z'
loop_
_atom_site_label
_atom_site_type_symbol
_atom_site_fract_x
_atom_site_fract_y
_atom_site_fract_z
Ga1 Ga 0.000 0.000 0.000
Te1 Te 0.000 0.500 0.000
Te2 Te 0.500 0.000 0.000
Ir1 Ir 0.000 0.000 0.500
Pb1 Pb 0.500 0.500 0.500

=====

These records have volume values of 140, 139 Å³/f.u., in the order they appear.